Entry 1:
## CaNiSbS2 (PBE)

Data for an optimized crystal structure of CaNiSbS2.

Results
The density of states at the Fermi level is 0.535 states/eV/atom. The formation energy without anion corrections comes out at 533 meV/atom.

Unit cell a=5.125 b=4.698 c=5.125 alpha=90.00 beta=90.00 gamma=90.00
Sites, in units of the cell vectors:
Sb 0.500 0.500 0.500
Ca 0.000 0.000 0.000
S 0.000 0.000 0.500
S 0.500 0.000 0.000
Ni 0.000 0.500 0.000

Entry 2:
## Y5NiHg (PBE)

Data for an optimized crystal structure of Y5NiHg.

Results
The density of states at the Fermi level is 1.111 states/eV/atom. Its formation energy is -127 meV/atom.

Unit cell a=6.435 b=6.435 c=11.310 alpha=73.06 beta=73.06 gamma=63.95
Sites, in units of the cell vectors:
Y 0.941 0.596 0.138
Y 0.207 0.549 0.546
Y 0.596 0.941 0.638
Y 0.013 0.987 0.250
Y 0.451 0.793 0.954
Y 0.549 0.207 0.046
Y 0.987 0.013 0.750
Y 0.404 0.059 0.362
Y 0.793 0.451 0.454
Y 0.059 0.404 0.862
Ni 0.000 0.000 0.000
Ni 0.000 0.000 0.500
Hg 0.474 0.526 0.250
Hg 0.526 0.474 0.750

Entry 3:
## Li4CaMg (PBE)

Data for an optimized crystal structure of Li4CaMg.

Results
The density of states at the Fermi level is 0.625 states/eV/atom. Its formation energy is 38 meV/atom. The value obtained for the energy above the most stable polymorph in this dataset is 0.058 eV per atom.

Unit cell a=5.171 b=8.348 c=6.962 alpha=90.00 beta=90.00 gamma=90.00
Sites, in units of the cell vectors:
Li 0.000 0.000 0.500
Li 0.000 0.000 0.000
Li 0.500 0.990 0.750
Li 0.500 0.010 0.250
Li 0.500 0.678 0.044
Li 0.500 0.322 0.956
Li 0.500 0.678 0.456
Li 0.500 0.322 0.544
Ca 0.000 0.647 0.750
Ca 0.000 0.353 0.250
Mg 0.000 0.260 0.750
Mg 0.000 0.740 0.250

no.,DFT total energy (eV/atom)
1,-3.50
2,-5.61
3,-1.84